[1]
LaSm4Os2 | PBE | relaxed

Cell lengths 7.908, 6.598, 8.172 Å; angles 90.00, 113.27, 90.00 degrees
Space group P2_1/m (No. 11)
One atom of each set of equivalent atoms:
1 La 0.028 0.250 0.165 x2
2 Sm 0.245 0.502 0.584 x4
3 Sm 0.324 0.750 0.253 x2
4 Sm 0.378 0.250 0.016 x2
5 Os 0.021 0.250 0.733 x2
6 Os 0.405 0.250 0.368 x2

Summary:
**Energy**: -6.676 eV per atom
**Volume**: 392 Å³/cell
**Magnetic moment**: 0.0 μB/f.u.
**ΔE_f**: -0.067 eV per atom
**Crystal system**: monoclinic
**Mass density**: 9.50 g/cm³

[2]
La2SmOs | PBE | relaxed

Cell lengths 7.482, 9.866, 6.508 Å; angles 90.00, 90.00, 90.00 degrees
Space group Pnma (No. 62)
One atom of each set of equivalent atoms:
1 La 0.174 0.068 0.172 x8
2 Sm 0.043 0.250 0.647 x4
3 Os 0.113 0.750 0.943 x4

Summary:
**Energy**: -6.596 eV per atom
**Volume**: 480 Å³/cell
**Magnetic moment**: 0.0 μB/f.u.
**Energy above the most stable polymorph in this dataset**: 0.0000 eV per atom
**ΔE_f**: -0.145 eV per atom
**Crystal system**: orthorhombic
**Mass density**: 8.55 g/cm³

[3]
La2SmOs | PBE | relaxed

Cell lengths 4.108, 12.383, 9.490 Å; angles 90.00, 90.00, 90.00 degrees
Space group Cmcm (No. 63)
One atom of each set of equivalent atoms:
1 La 0.000 0.143 0.071 x8
2 Sm 0.000 0.418 0.250 x4
3 Os 0.000 0.245 0.750 x4

Summary:
**Energy**: -6.566 eV per atom
**Volume**: 483 Å³/cell
**Magnetic moment**: 0.0 μB/f.u.
**Energy above the most stable polymorph in this dataset**: 0.0292 eV per atom
**ΔE_f**: -0.115 eV per atom
**Crystal system**: orthorhombic
**Mass density**: 8.51 g/cm³

[4]
La2Sm2Os | PBE | relaxed

Cell lengths 7.705, 12.413, 7.433 Å; angles 90.00, 114.14, 90.00 degrees
Space group C2/m (No. 12)
One atom of each set of equivalent atoms:
1 La 0.047 0.225 0.254 x8
2 Sm 0.223 0.500 0.884 x4
3 Sm 0.250 0.000 0.605 x4
4 Os 0.000 0.372 0.500 x4

Summary:
**Energy**: -6.185 eV per atom
**Volume**: 649 Å³/cell
**Magnetic moment**: 0.0 μB/f.u.
**ΔE_f**: -0.080 eV per atom
**Crystal system**: monoclinic
**Mass density**: 7.87 g/cm³

[5]
La2SmOs | PBE | relaxed

Cell lengths 5.5798, 5.5798, 11.9191 Å; angles 90.00, 90.00, 120.00 degrees
Space group R-3m (No. 166, hexagonal axes)
One atom of each set of equivalent atoms:
1 La 0.0000 0.0000 0.2355 x6
2 Sm 0.0000 0.0000 0.5000 x3
3 Os 0.0000 0.0000 0.0000 x3

Summary:
**Energy**: -6.177 eV per atom
**Volume**: 321 Å³/cell
**Magnetic moment**: 0.0 μB/f.u.
**Energy above the most stable polymorph in this dataset**: 0.4189 eV per atom
**ΔE_f**: 0.274 eV per atom
**Crystal system**: trigonal
**Mass density**: 9.59 g/cm³

[6]
La2SmOs2 | PBE | relaxed

Cell lengths 4.528, 6.298, 9.174 Å; angles 90.00, 90.00, 90.00 degrees
Space group Immm (No. 71)
One atom of each set of equivalent atoms:
1 La 0.000 0.000 0.203 x4
2 Sm 0.000 0.500 0.000 x2
3 Os 0.000 0.303 0.500 x4

Summary:
**Energy**: -7.431 eV per atom
**Volume**: 262 Å³/cell
**Magnetic moment**: 0.0 μB/f.u.
**ΔE_f**: -0.025 eV per atom
**Crystal system**: orthorhombic
**Mass density**: 10.26 g/cm³

[7]
LaSmOs4 | PBE | relaxed

Cell lengths 7.705, 7.705, 7.705 Å; angles 90.00, 90.00, 90.00 degrees
Space group F-43m (No. 216)
One atom of each set of equivalent atoms:
1 La 0.000 0.000 0.000 x4
2 Sm 0.250 0.250 0.750 x4
3 Os 0.125 0.125 0.375 x16

Summary:
**Energy**: -9.178 eV per atom
**Volume**: 457 Å³/cell
**Magnetic moment**: 0.0 μB/f.u.
**ΔE_f**: -0.084 eV per atom
**Crystal system**: cubic
**Mass density**: 15.25 g/cm³

[8]
LaSmZnOs | PBE | relaxed

Cell lengths 7.195, 7.195, 7.195 Å; angles 90.00, 90.00, 90.00 degrees
Space group F-43m (No. 216)
One atom of each set of equivalent atoms:
1 La 0.000 0.000 0.000 x4
2 Sm 0.000 0.000 0.500 x4
3 Zn 0.250 0.250 0.750 x4
4 Os 0.250 0.250 0.250 x4

Summary:
**Energy**: -5.669 eV per atom
**Volume**: 372 Å³/cell
**Magnetic moment**: 0.0 μB/f.u.
**ΔE_f**: -0.132 eV per atom
**Crystal system**: cubic
**Mass density**: 9.72 g/cm³

Q: Number 7 is which compound?
A: LaSmOs4

Q: Which of these has the highest energy?
A: LaSmZnOs

Q: Which value of ΔE_f does entry 7 give?
A: -0.084 eV per atom